First-principles (PBE) data for an optimized crystal structure of TiBTe2N, as listed in Alexandria via LeMat-Bulk.

Geometry as extended XYZ:
```
5
Lattice="5.670 0.000 0.000 0.000 5.670 0.000 0.000 0.000 2.819" Properties=species:S:1:pos:R:3 pbc="T T T"
B 0.000 0.000 0.000
Te 2.835 0.000 0.000
Te 0.000 2.835 0.000
N 0.000 0.000 1.410
Ti 2.835 2.835 1.410
```

## Properties
Calculated total energy: -5.616 eV per atom
Distance to the lowest polymorph of the same formula: 0.000 eV per atom
Space group: P4/mmm
Fermi-level density of states: 4.01 states/eV/cell
Total moment: 0.00 μB/cell
Formation energy without anion corrections: 220 meV/atom